A relaxed structure of VNi3P4O16. Source: Alexandria, functional PBE with a Hubbard U.

a = 5.7998 Å, b = 4.8291 Å, c = 9.9068 Å
α = 88.89°, β = 90.00°, γ = 90.00°
Closest atoms and distances in Å follow each position.
Element x y z (fractional)
V 0.5000 0.9567 0.7243  4 O 1.80-1.94
Ni 0.0000 0.0460 0.2740  6 O 1.96-2.15
Ni 0.0000 0.4495 0.7748  4 O 1.96-2.13
Ni 0.5000 0.5512 0.2306  6 O 1.99-2.17
P 0.5000 0.0933 0.4023  4 O 1.50-1.64
P 0.5000 0.3732 0.9063  4 O 1.48-1.59
P 0.0000 0.6119 0.0953  4 O 1.54-1.57
P 0.0000 0.9279 0.5899  4 O 1.50-1.62
O 0.5000 0.1442 0.5657  1 P 1.64, 1 V 1.80
O 0.2914 0.2510 0.3408  1 P 1.55
O 0.7086 0.2510 0.3408  1 P 1.55
O 0.0000 0.2366 0.6088  1 P 1.51
O 0.0000 0.2955 0.1153  1 P 1.54
O 0.2994 0.2179 0.8286  1 P 1.59
O 0.7006 0.2179 0.8286  1 P 1.59
O 0.5000 0.3359 0.0549  1 P 1.48
O 0.0000 0.6617 0.9416  1 P 1.54
O 0.7914 0.7576 0.1650  1 P 1.57
O 0.2086 0.7576 0.1650  1 P 1.57
O 0.5000 0.6832 0.8599  1 P 1.56
O 0.5000 0.7836 0.3940  1 P 1.50
O 0.7882 0.7849 0.6729  1 P 1.62
O 0.2118 0.7849 0.6729  1 P 1.62
O 0.0000 0.8269 0.4477  1 P 1.50

**DFT total energy**: -158.46 eV per cell
**Mass density**: 3.63 g/cm3
**SG**: No. 6